This record from Alexandria describes FeAsOs2 after structural relaxation. The functional is PBE-GGA.

Geometry as POSCAR:
```
FeAsOs2
1.0
3.845 0.000 0.000
0.000 2.791 0.002
0.000 1.390 5.214
As Os Fe
1 2 1
Cartesian
0.000 1.566 2.826
0.000 0.175 0.007
1.922 1.569 1.222
1.922 2.961 3.768
```

Summary:
- DFT formation energy (eV per formula unit) = 1.0
- crystal system = orthorhombic
- mass density (g/cm³) = 15.2
- calculated total energy (eV/atom) = -8.647